TlIrCF2 (PBE, optimized geometry); V = 90.29 Å³/cell; calculated total energy = -20.67 eV for the cell shown; raw formation energy = 0.705 eV per atom; N(E_F) = 3.001 states/eV/cell
1.0
3.946 0.000 0.000
0.000 5.799 0.000
0.000 0.000 3.946
Tl Ir C F
1 1 1 2
Direct
0.000 0.500 0.000
0.000 0.000 0.000
0.500 0.500 0.500
0.000 0.000 0.500
0.500 0.000 0.000

---

NdYHoTl (PBE, optimized geometry); energy of formation = -0.06 eV per atom; V = 119.50 Å³/cell; calculated total energy = -18.41 eV for the cell shown; N(E_F) = 4.945 states/eV/cell
1.0
-3.833 2.446 -3.145
-1.083 -1.952 -5.058
-4.795 -2.561 -1.007
Y Tl Nd Ho
1 1 1 1
Direct
0.750 0.750 0.750
0.000 0.000 0.000
0.250 0.250 0.250
0.500 0.500 0.500

---

AlTcH5 (PBE, optimized geometry); V = 110.58 Å³/cell; calculated total energy = -61.12 eV for the cell shown; N(E_F) = 3.268 states/eV/cell
1.0
-2.875 3.392 -1.183
-3.100 -3.289 0.864
-3.481 1.611 4.874
Al Tc H
2 2 10
Direct
0.064 0.436 0.250
0.936 0.564 0.750
0.000 0.000 0.000
0.500 0.500 0.500
0.204 0.154 0.147
0.306 0.796 0.493
0.654 0.704 0.647
0.610 0.890 0.250
0.704 0.194 0.007
0.296 0.806 0.993
0.390 0.110 0.750
0.346 0.296 0.353
0.694 0.204 0.507
0.796 0.846 0.853

---

ErMg2Zn (PBE, optimized geometry); energy of formation = -0.07 eV per atom; V = 89.30 Å³/cell; calculated total energy = -9.32 eV for the cell shown; N(E_F) = 3.348 states/eV/cell
1.0
3.298 0.000 0.000
0.000 3.298 0.000
0.000 0.000 8.207
Zn Mg Er
1 2 1
Direct
0.500 0.500 0.000
0.000 0.000 0.795
0.000 0.000 0.205
0.500 0.500 0.500

---

Mn2ReAs (PBE, optimized geometry); energy of formation = 0.13 eV per atom; V = 55.65 Å³/cell; calculated total energy = -34.91 eV for the cell shown; N(E_F) = 3.166 states/eV/cell
1.0
-0.996 -2.978 -3.304
2.116 -2.031 3.490
-2.543 -0.523 1.238
As Mn Re
1 2 1
Direct
0.000 0.500 0.500
0.000 0.000 0.000
0.500 0.500 0.000
0.500 0.000 0.500

---

TbY2ScSe6 (PBE, optimized geometry); V = 281.06 Å³/cell; calculated total energy = -62.84 eV for the cell shown; raw formation energy = -1.804 eV per atom; N(E_F) = 0.000 states/eV/cell
1.0
7.115 0.000 0.000
3.558 6.162 0.000
3.557 2.054 6.411
Tb Y Sc Se
1 2 1 6
Direct
0.819 0.819 0.544
0.517 0.517 0.451
0.014 0.014 0.958
0.322 0.322 0.034
0.593 0.219 0.250
0.219 0.937 0.250
0.937 0.593 0.250
0.419 0.710 0.759
0.710 0.112 0.759
0.112 0.419 0.759

---

LaPmSi2 (PBE, optimized geometry); V = 98.61 Å³/cell; calculated total energy = -23.53 eV for the cell shown; raw formation energy = -0.752 eV per atom; N(E_F) = 3.611 states/eV/cell
1.0
4.234 0.000 -1.544
0.000 3.951 0.000
-0.219 0.000 5.974
La Pm Si
1 1 2
Direct
0.441 0.500 0.421
0.721 0.000 0.981
0.155 0.500 0.849
0.014 0.000 0.567

---

Nd2PaGeO8 (PBE, optimized geometry); V = 169.58 Å³/cell; calculated total energy = -96.17 eV for the cell shown; raw formation energy = -2.738 eV per atom; N(E_F) = 6.144 states/eV/cell
1.0
-0.740 -1.972 3.349
4.624 -2.702 -1.259
3.195 5.681 4.503
Nd Pa Ge O
2 1 1 8
Direct
0.486 0.522 0.754
0.514 0.478 0.246
0.000 0.000 0.500
0.000 0.000 0.000
0.045 0.706 0.300
0.640 0.768 0.027
0.954 0.169 0.216
0.955 0.294 0.700
0.360 0.232 0.973
0.046 0.831 0.784
0.527 0.773 0.530
0.473 0.227 0.470

---

NbBiTe2Ru (PBE, optimized geometry); V = 161.08 Å³/cell; calculated total energy = -20.25 eV for the cell shown; raw formation energy = 1.851 eV per atom; N(E_F) = 16.005 states/eV/cell
1.0
5.715 0.000 0.000
0.000 4.931 0.000
0.000 0.000 5.715
Ru Nb Te Bi
1 1 2 1
Direct
0.000 0.500 0.000
0.500 0.500 0.500
0.000 0.000 0.500
0.500 0.000 0.000
0.000 0.000 0.000

---

Er2AlO4 (PBE, optimized geometry); V = 79.65 Å³/cell; calculated total energy = -53.41 eV for the cell shown; raw formation energy = -2.958 eV per atom; N(E_F) = 0.355 states/eV/cell
1.0
-0.577 -1.899 -2.244
-3.999 -2.901 3.483
-0.483 5.369 -2.420
Er Al O
2 1 4
Direct
0.656 0.619 0.313
0.344 0.381 0.687
0.000 0.000 0.000
0.952 0.247 0.905
0.048 0.753 0.095
0.647 0.229 0.294
0.353 0.771 0.706